[1]
Material: Pr4Mg5Ru2
Method: DFT, PBE-GGA
State: relaxed

Structure (POSCAR):
```
Pr4Mg5Ru2
1.0
7.902 0.000 0.000
0.000 3.863 0.000
-0.778 0.000 9.877
Pr Mg Ru
4 5 2
Cartesian
1.107 0.000 3.411
0.902 0.000 9.351
6.221 0.000 0.527
6.017 0.000 6.466
0.880 1.932 6.479
3.387 1.932 1.710
3.562 1.932 4.939
3.736 1.932 8.167
6.244 1.932 3.398
0.480 1.932 1.453
6.644 1.932 8.425
```

## Properties
Calculated formation energy = -0.106 eV per atom
SG = P2/m

[2]
Material: Pr6MgRu2
Method: DFT, PBE-GGA
State: relaxed

Structure (POSCAR):
```
Pr6MgRu2
1.0
-4.893 5.039 5.387
4.893 -5.039 5.387
4.893 5.039 -5.387
Pr Mg Ru
12 2 4
Cartesian
4.893 2.992 -2.830
2.787 1.839 0.000
7.000 1.839 0.000
1.810 5.039 -1.895
3.083 0.000 3.492
0.000 2.047 2.557
4.893 2.992 2.830
1.810 5.039 1.895
3.083 0.000 7.283
-2.107 3.200 5.387
2.107 3.200 5.387
0.000 2.047 8.218
0.000 0.000 0.000
0.000 0.000 5.387
4.893 0.000 1.333
0.000 3.158 0.000
0.000 6.920 0.000
0.000 5.039 4.055
```

## Properties
Relative energy among the computed polymorphs = 0.00 eV/f.u.
Calculated formation energy = -0.154 eV per atom
SG = Immm

Calculated values (Å³ per cell) of volume for the records, taken in order: 301.50; 531.36.
Calculated values (μB/f.u.) of magnetic moment for the records, taken in order: 0.00; 0.00.